# 1
Compound: BaAcNb2O8
Source: Alexandria via LeMat-Bulk
Functional: GGA-PBE
Structure: relaxed

Structure (POSCAR):
```
BaAcNb2O8
1.0
6.196 0.000 0.000
-3.098 5.366 0.000
0.000 0.000 7.928
Ba Ac Nb O
1 1 2 8
direct
0.000 0.000 0.000
0.000 0.000 0.500
0.333 0.667 0.208
0.667 0.333 0.792
0.166 0.332 0.280
0.166 0.834 0.280
0.332 0.166 0.720
0.333 0.667 0.975
0.667 0.333 0.025
0.668 0.834 0.280
0.834 0.166 0.720
0.834 0.668 0.720
```

Values from the calculation:
E_form (uncorrected) (eV per atom): -2.627
V (Å³/cell): 264



# 2
Compound: Cs2LiCd2
Source: Alexandria via LeMat-Bulk
Functional: GGA-PBE
Structure: relaxed

Structure (POSCAR):
```
Cs2LiCd2
1.0
11.245 0.000 0.000
0.000 11.245 0.000
0.000 0.000 3.980
Cs Li Cd
4 2 4
direct
0.192 0.308 0.000
0.308 0.808 0.000
0.692 0.192 0.000
0.808 0.692 0.000
0.000 0.000 0.000
0.500 0.500 0.000
0.096 0.596 0.500
0.404 0.096 0.500
0.596 0.904 0.500
0.904 0.404 0.500
```

Values from the calculation:
V (Å³/cell): 503
E above lowest polymorph (meV per atom): 116
Energy of formation (eV/atom): 0.1668



# 3
Compound: RbAs2I6
Source: Alexandria via LeMat-Bulk
Functional: GGA-PBE
Structure: relaxed

Structure (POSCAR):
```
RbAs2I6
1.0
7.674 -6.966 0.000
7.674 6.966 0.000
-6.841 0.000 9.644
Rb As I
2 4 12
direct
0.093 0.907 0.750
0.907 0.093 0.250
0.335 0.411 0.784
0.411 0.335 0.284
0.589 0.665 0.716
0.665 0.589 0.216
0.135 0.575 0.817
0.151 0.161 0.113
0.161 0.151 0.613
0.360 0.411 0.540
0.411 0.360 0.040
0.425 0.865 0.683
0.575 0.135 0.317
0.589 0.640 0.960
0.640 0.589 0.460
0.839 0.849 0.387
0.849 0.839 0.887
0.865 0.425 0.183
```

Values from the calculation:
E_form (uncorrected) (eV per atom): -0.396
V (Å³/cell): 1031



# 4
Compound: CdTeRuI2
Source: Alexandria via LeMat-Bulk
Functional: GGA-PBE
Structure: relaxed

Structure (POSCAR):
```
CdTeRuI2
1.0
5.754 0.000 0.000
0.000 5.754 0.000
0.000 0.000 5.716
Cd Te Ru I
1 1 1 2
direct
0.000 0.000 0.000
0.000 0.000 0.500
0.500 0.500 0.500
0.000 0.500 0.000
0.500 0.000 0.000
```

Values from the calculation:
E_form (uncorrected) (eV per atom): 1.076
V (Å³/cell): 189
E above lowest polymorph (meV per atom): 777



# 5
Compound: ReNiPb2
Source: Alexandria via LeMat-Bulk
Functional: GGA-PBE
Structure: relaxed

Structure (POSCAR):
```
ReNiPb2
1.0
5.375 -1.481 0.000
5.375 1.481 0.000
-1.539 0.000 5.020
Re Ni Pb
1 1 2
direct
0.000 0.000 0.000
0.667 0.667 0.307
0.232 0.232 0.826
0.427 0.427 0.455
```

Values from the calculation:
V (Å³/cell): 80
E above lowest polymorph (meV per atom): 280
Energy of formation (eV/atom): 0.7259



# 6
Compound: NpHg2PdO6
Source: Alexandria via LeMat-Bulk
Functional: GGA-PBE
Structure: relaxed

Structure (POSCAR):
```
NpHg2PdO6
1.0
5.493 -2.880 0.000
5.493 2.880 0.000
-1.890 0.000 4.607
Np Hg Pd O
1 2 1 6
direct
0.000 0.000 0.000
0.284 0.284 0.798
0.716 0.716 0.202
0.500 0.500 0.500
0.164 0.164 0.337
0.178 0.647 0.184
0.353 0.822 0.816
0.647 0.178 0.184
0.822 0.353 0.816
0.836 0.836 0.663
```

Values from the calculation:
E_form (uncorrected) (eV per atom): -1.254
V (Å³/cell): 146



# 7
Compound: MgBiAs2
Source: Alexandria via LeMat-Bulk
Functional: GGA-PBE
Structure: relaxed

Structure (POSCAR):
```
MgBiAs2
1.0
-3.119 3.119 6.473
3.119 -3.119 6.473
3.119 3.119 -6.473
Mg Bi As
2 2 4
direct
0.000 0.000 0.000
0.750 0.250 0.500
0.250 0.750 0.500
0.500 0.500 0.000
0.100 0.625 0.975
0.375 0.350 0.475
0.650 0.125 0.025
0.875 0.900 0.525
```

Values from the calculation:
V (Å³/cell): 252
E above lowest polymorph (meV per atom): 59
Energy of formation (eV/atom): -0.0807



# 8
Compound: Dy5InNi2
Source: Alexandria via LeMat-Bulk
Functional: GGA-PBE
Structure: relaxed

Structure (POSCAR):
```
Dy5InNi2
1.0
-3.846 3.846 6.686
3.846 -3.846 6.686
3.846 3.846 -6.686
Dy In Ni
10 2 4
direct
0.000 0.000 0.000
0.025 0.525 0.820
0.205 0.025 0.500
0.295 0.795 0.820
0.475 0.295 0.500
0.500 0.500 0.000
0.525 0.705 0.500
0.705 0.205 0.180
0.795 0.975 0.500
0.975 0.475 0.180
0.250 0.250 0.000
0.750 0.750 0.000
0.127 0.373 0.500
0.373 0.873 0.246
0.627 0.127 0.754
0.873 0.627 0.500
```

Values from the calculation:
V (Å³/cell): 396
Energy of formation (eV/atom): -0.3552



# 9
Compound: Ag2AsSe
Source: Alexandria via LeMat-Bulk
Functional: GGA-PBE
Structure: relaxed

Structure (POSCAR):
```
Ag2AsSe
1.0
1.500 0.866 10.294
-1.500 0.866 10.294
0.000 -1.732 10.294
Ag As Se
2 1 1
direct
0.000 0.000 0.000
0.257 0.257 0.257
0.518 0.518 0.518
0.743 0.743 0.743
```

Values from the calculation:
E_form (uncorrected) (eV per atom): 0.276
V (Å³/cell): 80



# 10
Compound: KAuBr4
Source: Alexandria via LeMat-Bulk
Functional: GGA-PBE
Structure: relaxed

Structure (POSCAR):
```
KAuBr4
1.0
0.000 4.553 4.553
4.553 0.000 4.553
4.553 4.553 0.000
K Au Br
1 1 4
direct
0.000 0.000 0.000
0.750 0.750 0.750
0.376 0.376 0.376
0.376 0.376 0.871
0.376 0.871 0.376
0.871 0.376 0.376
```

Values from the calculation:
E_form (uncorrected) (eV per atom): 0.133
V (Å³/cell): 189



# 11
Compound: PaBH
Source: Alexandria via LeMat-Bulk
Functional: GGA-PBE
Structure: relaxed

Structure (POSCAR):
```
PaBH
1.0
2.652 -2.652 0.000
2.652 2.652 0.000
-0.003 0.000 5.372
Pa B H
2 2 2
direct
0.250 0.250 0.246
0.750 0.750 0.754
0.250 0.250 0.722
0.750 0.750 0.278
0.250 0.750 0.000
0.750 0.250 0.000
```

Values from the calculation:
V (Å³/cell): 76
E above lowest polymorph (meV per atom): 308



# 12
Compound: Cs3Np2Se6
Source: Alexandria via LeMat-Bulk
Functional: GGA-PBE
Structure: relaxed

Structure (POSCAR):
```
Cs3Np2Se6
1.0
-2.727 2.727 15.023
2.727 -2.727 15.023
2.727 2.727 -15.023
Cs Np Se
3 2 6
direct
0.000 0.000 0.000
0.186 0.186 0.000
0.814 0.814 0.000
0.398 0.398 0.000
0.602 0.602 0.000
0.087 0.587 0.500
0.311 0.311 0.000
0.413 0.913 0.500
0.587 0.087 0.500
0.689 0.689 0.000
0.913 0.413 0.500
```

Values from the calculation:
E_form (uncorrected) (eV per atom): -1.076
V (Å³/cell): 447



# 13
Compound: Sc2Ti2Mn
Source: Alexandria via LeMat-Bulk
Functional: GGA-PBE
Structure: relaxed

Structure (POSCAR):
```
Sc2Ti2Mn
1.0
6.134 0.000 0.000
0.000 6.134 0.000
0.000 0.000 4.919
Sc Ti Mn
4 4 2
direct
0.174 0.326 0.000
0.326 0.826 0.000
0.674 0.174 0.000
0.826 0.674 0.000
0.153 0.653 0.500
0.347 0.153 0.500
0.653 0.847 0.500
0.847 0.347 0.500
0.000 0.000 0.500
0.500 0.500 0.500
```

Values from the calculation:
V (Å³/cell): 185
Energy of formation (eV/atom): 0.1030



# 14
Compound: SrCoAgMo2
Source: Alexandria via LeMat-Bulk
Functional: GGA-PBE
Structure: relaxed

Structure (POSCAR):
```
SrCoAgMo2
1.0
5.146 0.000 0.000
0.000 5.146 0.000
0.000 0.000 5.548
Sr Co Ag Mo
1 1 1 2
direct
0.000 0.000 0.000
0.500 0.500 0.000
0.000 0.000 0.500
0.000 0.500 0.500
0.500 0.000 0.500
```

Values from the calculation:
V (Å³/cell): 147
Energy of formation (eV/atom): 2.1796



# 15
Compound: Ce6SnHg
Source: Alexandria via LeMat-Bulk
Functional: GGA-PBE
Structure: relaxed

Structure (POSCAR):
```
Ce6SnHg
1.0
4.781 0.000 0.000
0.000 4.781 0.000
0.000 0.000 9.544
Ce Sn Hg
6 1 1
direct
0.000 0.000 0.000
0.000 0.000 0.500
0.000 0.500 0.248
0.000 0.500 0.752
0.500 0.000 0.248
0.500 0.000 0.752
0.500 0.500 0.000
0.500 0.500 0.500
```

Values from the calculation:
V (Å³/cell): 218
Energy of formation (eV/atom): -0.2499



# 16
Compound: Ac2UInRh6
Source: Alexandria via LeMat-Bulk
Functional: GGA-PBE
Structure: relaxed

Structure (POSCAR):
```
Ac2UInRh6
1.0
5.194 -2.996 0.000
5.194 2.996 0.000
-3.458 0.000 7.746
Ac U In Rh
2 1 1 6
direct
0.229 0.229 0.186
0.771 0.771 0.814
0.500 0.500 0.000
0.000 0.000 0.500
0.235 0.746 0.225
0.254 0.254 0.775
0.254 0.765 0.775
0.746 0.235 0.225
0.746 0.746 0.225
0.765 0.254 0.775
```

Values from the calculation:
V (Å³/cell): 241
Energy of formation (eV/atom): -0.3932



# 17
Compound: Co2AgOs
Source: Alexandria via LeMat-Bulk
Functional: GGA-PBE
Structure: relaxed

Structure (POSCAR):
```
Co2AgOs
1.0
-1.957 1.957 3.458
1.957 -1.957 3.458
1.957 1.957 -3.458
Co Ag Os
2 1 1
direct
0.250 0.750 0.500
0.750 0.250 0.500
0.000 0.000 0.000
0.500 0.500 0.000
```

Values from the calculation:
V (Å³/cell): 53
E above lowest polymorph (meV per atom): 279
Energy of formation (eV/atom): 0.5688



# 18
Compound: Sm7GaS5
Source: Alexandria via LeMat-Bulk
Functional: GGA-PBE
Structure: relaxed

Structure (POSCAR):
```
Sm7GaS5
1.0
4.000 0.000 0.000
0.000 23.968 0.000
-1.991 0.000 6.638
Sm Ga S
14 2 10
direct
0.028 0.250 0.056
0.137 0.536 0.273
0.137 0.964 0.273
0.317 0.176 0.635
0.317 0.324 0.635
0.410 0.610 0.819
0.410 0.890 0.819
0.590 0.110 0.181
0.590 0.390 0.181
0.683 0.676 0.365
0.683 0.824 0.365
0.863 0.036 0.727
0.863 0.464 0.727
0.972 0.750 0.944
0.303 0.750 0.606
0.697 0.250 0.394
0.047 0.641 0.095
0.047 0.859 0.095
0.226 0.071 0.452
0.226 0.429 0.452
0.500 0.000 0.000
0.500 0.500 0.000
0.774 0.571 0.548
0.774 0.929 0.548
0.953 0.141 0.905
0.953 0.359 0.905
```

Values from the calculation:
E_form (uncorrected) (eV per atom): -1.663
V (Å³/cell): 636



# 19
Compound: Nd2HoCu2Si2
Source: Alexandria via LeMat-Bulk
Functional: GGA-PBE
Structure: relaxed

Structure (POSCAR):
```
Nd2HoCu2Si2
1.0
2.063 1.191 10.819
-2.063 1.191 10.819
0.000 -2.382 10.819
Nd Ho Cu Si
2 1 2 2
direct
0.118 0.118 0.118
0.882 0.882 0.882
0.000 0.000 0.000
0.390 0.390 0.390
0.610 0.610 0.610
0.275 0.275 0.275
0.725 0.725 0.725
```

Values from the calculation:
E_form (uncorrected) (eV per atom): -0.495
V (Å³/cell): 160



# 20
Compound: SiICl2
Source: Alexandria via LeMat-Bulk
Functional: GGA-PBE
Structure: relaxed

Structure (POSCAR):
```
SiICl2
1.0
-3.813 3.813 5.415
3.813 -3.813 5.415
3.813 3.813 -5.415
Si I Cl
2 2 4
direct
0.375 0.625 0.750
0.625 0.375 0.250
0.125 0.875 0.250
0.875 0.125 0.750
0.000 0.500 0.500
0.500 0.000 0.000
0.500 0.500 0.000
0.500 0.500 0.500
```

Values from the calculation:
E_form (uncorrected) (eV per atom): -0.101
V (Å³/cell): 315
E above lowest polymorph (meV per atom): 119



Number 1: density 4.273 g/cm3. Number 2: density 3.283 g/cm3. Number 3: density 3.211 g/cm3. Number 4: density 5.220 g/cm3. Number 5: density 13.698 g/cm3. Number 6: density 9.577 g/cm3. Number 7: density 5.051 g/cm3. Number 8: density 8.772 g/cm3. Number 9: density 7.648 g/cm3. Number 10: density 4.888 g/cm3. Number 11: density 10.670 g/cm3. Number 12: density 5.003 g/cm3. Number 13: density 4.317 g/cm3. Number 14: density 5.046 g/cm3. Number 15: density 8.831 g/cm3. Number 16: density 9.812 g/cm3. Number 17: density 13.039 g/cm3. Number 18: density 6.693 g/cm3. Number 19: density 6.627 g/cm3. Number 20: density 2.382 g/cm3.